This record from Alexandria via LeMat-Bulk describes a relaxed structure of CsMnB2. The functional is PBE-GGA.

Results
E_form in eV/f.u.: 3.1
Electronic total energy in Ry/atom: -0.373
Magnetization in Bohr magnetons per cell: 0.00

Lattice parameters (Å, degrees): 6.2369 6.2369 8.8087 90.00 90.00 90.00
Space group I4_1/amd (No. 141, origin choice 2)
Unique sites:
Cs (0.0000, 0.2500, 0.3750) (multiplicity 4)
Mn (0.0000, 0.2500, 0.8750) (multiplicity 4)
B (0.0000, 0.0000, 0.0000) (multiplicity 8)